Material: Pm4ZnCI2
Method: DFT, PBE-GGA
State: relaxed

Properties
The formation energy (no corrections) is -4.7 eV per formula unit. As for the space group: No. 10. The mass density comes out at 6684 kg/m3. Its total magnetization is 0.00 μB/atom.

Cell: 3.9679 7.3646 8.0516 Å, 105.81 90.00 90.00°
Element x y z (fractional)
1 I 0.5000 0.0000 0.5000
2 Pm 0.5000 0.2706 0.1923
3 Pm 0.5000 0.7294 0.8077
4 C 0.5000 0.5000 0.0000
5 I 0.0000 0.5000 0.5000
6 Pm 0.0000 0.6952 0.1744
7 Zn 0.0000 0.0000 0.0000
8 Pm 0.0000 0.3048 0.8256